Material: LaPt4Pb
Method: DFT, SCAN
State: single point on PBEsol structure

The structure in extended XYZ format:
```
6
Lattice="-1.4575 0.6831 -5.1876 -5.2578 0.3287 -1.3230 -2.0994 4.7369 -1.6299" Properties=species:S:1:pos:R:3 pbc="T T T"
Pb 0.0000 0.0000 0.0000
Pt -3.3032 2.1542 -3.0506
Pt -4.3551 4.5277 -3.8673
Pt -4.0335 2.4965 -5.6499
Pt -5.9376 2.3189 -3.7135
La -6.6110 4.3115 -6.1055
```

Summary:
As for the formation energy: -4.78 eV/f.u.

Material: LaPtPb2
Method: DFT, SCAN
State: single point on PBEsol structure

The structure in extended XYZ format:
```
4
Lattice="-4.4258 1.0951 -0.7210 -3.2268 -1.3211 3.0248 -1.8492 4.5968 3.5570" Properties=species:S:1:pos:R:3 pbc="T T T"
La 0.0000 0.0000 0.0000
Pb -2.3268 1.4169 1.6587
Pb -7.1751 2.9539 4.2021
Pt -4.7509 2.1854 2.9304
```

Summary:
The value obtained for the polymorph energy (0 for the lowest one) is 0.00 kcal/mol of atoms. As for the formation energy: -2.60 eV/f.u.

Material: LaSbPtPb2
Method: DFT, SCAN
State: single point on PBEsol structure

The structure in extended XYZ format:
```
5
Lattice="-0.0470 4.3036 2.1715 2.3876 -2.3271 4.6637 5.2117 1.1210 -2.1089" Properties=species:S:1:pos:R:3 pbc="T T T"
Pb 2.6059 0.5605 -1.0544
Pb 1.1938 -1.1635 2.3318
Sb 0.0000 0.0000 0.0000
Pt -0.0235 2.1518 1.0857
La 3.7762 1.5487 2.3631
```

Summary:
Its formation energy from raw total energies is 0.073 eV per atom.

Material: LaTe2PtPb
Method: DFT, SCAN
State: single point on PBEsol structure

The structure in extended XYZ format:
```
5
Lattice="-1.9440 2.1612 4.4309 3.5711 -2.7662 2.9160 3.5021 4.0557 -0.4416" Properties=species:S:1:pos:R:3 pbc="T T T"
Pb 2.5646 1.7253 3.4527
Te 1.7511 2.0278 -0.2208
Te 1.7856 -1.3831 1.4580
Pt 0.0000 0.0000 0.0000
La -0.9720 1.0806 2.2155
```

Summary:
Its formation energy from raw total energies is -0.480 eV per atom.

Number 1: total energy -67.406 eV/atom. Number 2: total energy -66.866 eV/atom. Number 3: total energy -60.351 eV/atom. Number 4: total energy -53.196 eV/atom.